1.
## TbYTlPb (PBE)

Data for a relaxed TbYTlPb crystal. Values from VASP.

Calculated values
- density of states at the Fermi level (states/eV/f.u.) = 2.989
- total magnetic moment (μB per atom) = 0.00
- formation energy from the elements (eV per formula unit) = -1.52
- SG = F-43m

Structure (Quantum ESPRESSO input):
```
&SYSTEM
  ibrav = 0, nat = 16, ntyp = 4
/
ATOMIC_SPECIES
Tb 158.93 Tb.upf
Y 88.91 Y.upf
Tl 204.38 Tl.upf
Pb 207.20 Pb.upf
ATOMIC_POSITIONS crystal
Tb 0.000 0.000 0.000
Tb 0.000 0.500 0.500
Tb 0.500 0.000 0.500
Tb 0.500 0.500 0.000
Y 0.000 0.000 0.500
Y 0.000 0.500 0.000
Y 0.500 0.000 0.000
Y 0.500 0.500 0.500
Tl 0.250 0.250 0.750
Tl 0.250 0.750 0.250
Tl 0.750 0.250 0.250
Tl 0.750 0.750 0.750
Pb 0.250 0.250 0.250
Pb 0.250 0.750 0.750
Pb 0.750 0.250 0.750
Pb 0.750 0.750 0.250
CELL_PARAMETERS angstrom
7.664 0.000 0.000
0.000 7.664 0.000
0.000 0.000 7.664
```

---

2.
## Tb2Tm8Pb (PBE)

Data for a relaxed Tb2Tm8Pb crystal. Values from VASP.

Calculated values
- density of states at the Fermi level (states/eV/f.u.) = 14.988
- total magnetic moment (μB per atom) = 0.00
- formation energy from the elements (eV per formula unit) = -0.57
- SG = C2/m

Structure (Quantum ESPRESSO input):
```
&SYSTEM
  ibrav = 0, nat = 11, ntyp = 3
/
ATOMIC_SPECIES
Tb 158.93 Tb.upf
Tm 168.93 Tm.upf
Pb 207.20 Pb.upf
ATOMIC_POSITIONS crystal
Tb 0.244 0.244 0.335
Tb 0.756 0.756 0.665
Tm 0.045 0.045 0.274
Tm 0.153 0.153 0.804
Tm 0.337 0.337 0.875
Tm 0.421 0.421 0.403
Tm 0.579 0.579 0.597
Tm 0.663 0.663 0.125
Tm 0.847 0.847 0.196
Tm 0.955 0.955 0.726
Pb 0.500 0.500 0.000
CELL_PARAMETERS angstrom
9.608 -2.742 0.000
9.608 2.742 0.000
-0.571 0.000 6.333
```

---

3.
## Tb2Tm2Pb (PBE)

Data for a relaxed Tb2Tm2Pb crystal. Values from VASP.

Calculated values
- density of states at the Fermi level (states/eV/f.u.) = 5.890
- total magnetic moment (μB per atom) = 0.00
- formation energy from the elements (eV per formula unit) = 1.38
- SG = I4/mmm

Structure (Quantum ESPRESSO input):
```
&SYSTEM
  ibrav = 0, nat = 10, ntyp = 3
/
ATOMIC_SPECIES
Tb 158.93 Tb.upf
Tm 168.93 Tm.upf
Pb 207.20 Pb.upf
ATOMIC_POSITIONS crystal
Tb 0.000 0.500 0.250
Tb 0.000 0.500 0.750
Tb 0.500 0.000 0.250
Tb 0.500 0.000 0.750
Tm 0.000 0.000 0.089
Tm 0.000 0.000 0.911
Tm 0.500 0.500 0.411
Tm 0.500 0.500 0.589
Pb 0.000 0.000 0.500
Pb 0.500 0.500 0.000
CELL_PARAMETERS angstrom
4.370 0.000 0.000
0.000 4.370 0.000
0.000 0.000 16.861
```